# 1
La2Ga7Au | PBE | optimized geometry

Output
E above lowest polymorph, kJ/mol of formula units: 0.0
ΔH_f (0 K), meV/atom: -587.2

a b c (Å): 4.484 4.484 10.446
angles (deg): 90.00 90.00 90.00
Positions (direct):
La 0.000 0.000 0.995
La 0.500 0.500 0.495
Ga 0.000 0.500 0.251
Ga 0.500 0.000 0.749
Ga 0.500 0.000 0.251
Ga 0.000 0.500 0.749
Ga 0.000 0.000 0.621
Ga 0.000 0.000 0.382
Ga 0.500 0.500 0.883
Au 0.500 0.500 0.124

---

# 2
SmGe2Rh3 | PBE | optimized geometry

Output
ΔH_f (0 K), meV/atom: -587.1

a b c (Å): 4.038 4.038 8.040
angles (deg): 104.54 104.54 90.00
Positions (direct):
Sm 0.000 0.000 0.000
Ge 0.659 0.659 0.319
Ge 0.341 0.341 0.681
Rh 0.750 0.250 0.500
Rh 0.500 0.500 0.000
Rh 0.250 0.750 0.500

---

# 3
Ac4PmTm | PBE | optimized geometry

Output
E above lowest polymorph, kJ/mol of formula units: 0.0
ΔH_f (0 K), meV/atom: 160.0

a b c (Å): 6.244 7.434 10.541
angles (deg): 90.00 90.00 90.00
Positions (direct):
Ac 0.000 0.500 0.671
Ac 0.500 0.500 0.832
Ac 0.000 0.000 0.329
Ac 0.500 0.500 0.168
Ac 0.500 0.000 0.168
Ac 0.000 0.000 0.671
Ac 0.500 0.000 0.832
Ac 0.000 0.500 0.329
Pm 0.500 0.750 0.500
Pm 0.500 0.250 0.500
Tm 0.000 0.750 0.000
Tm 0.000 0.250 0.000

---

# 4
Sc2CdCuNi | PBE | optimized geometry

Output
E above lowest polymorph, kJ/mol of formula units: 0.0
ΔH_f (0 K), meV/atom: 448.8

a b c (Å): 4.858 4.733 4.858
angles (deg): 90.00 90.00 90.00
Positions (direct):
Sc 0.000 0.000 0.500
Sc 0.500 0.000 0.000
Ni 0.500 0.500 0.500
Cu 0.000 0.000 0.000
Cd 0.000 0.500 0.000